1.
A plane-wave DFT calculation with PBE was carried out for SbPAuO after structural relaxation.

a = 4.630 Å, b = 4.630 Å, c = 8.076 Å
α = 90.00°, β = 90.00°, γ = 90.00°
Fractional coordinates of all 8 atoms:
Sb 0.250 0.750 0.000
Sb 0.750 0.250 0.000
P 0.250 0.250 0.167
P 0.750 0.750 0.833
Au 0.250 0.250 0.467
Au 0.750 0.750 0.533
O 0.250 0.750 0.500
O 0.750 0.250 0.500

* offset from the most stable computed form: 689 meV/atom

---

2.
A plane-wave DFT calculation with PBE was carried out for BeFeNiBi after structural relaxation.

a = 6.056 Å, b = 6.056 Å, c = 6.056 Å
α = 90.00°, β = 90.00°, γ = 90.00°
Fractional coordinates of all 16 atoms:
Be 0.000 0.000 0.000
Be 0.000 0.500 0.500
Be 0.500 0.000 0.500
Be 0.500 0.500 0.000
Fe 0.250 0.250 0.250
Fe 0.250 0.750 0.750
Fe 0.750 0.250 0.750
Fe 0.750 0.750 0.250
Ni 0.250 0.250 0.750
Ni 0.250 0.750 0.250
Ni 0.750 0.250 0.250
Ni 0.750 0.750 0.750
Bi 0.000 0.000 0.500
Bi 0.000 0.500 0.000
Bi 0.500 0.000 0.000
Bi 0.500 0.500 0.500

* offset from the most stable computed form: 0 meV/atom

---

3.
A plane-wave DFT calculation with PBE was carried out for SmAgGe after structural relaxation.

a = 6.628 Å, b = 6.628 Å, c = 6.628 Å
α = 90.00°, β = 90.00°, γ = 90.00°
Fractional coordinates of all 12 atoms:
Sm 0.000 0.000 0.000
Sm 0.000 0.500 0.500
Sm 0.500 0.000 0.500
Sm 0.500 0.500 0.000
Ag 0.250 0.250 0.750
Ag 0.250 0.750 0.250
Ag 0.750 0.250 0.250
Ag 0.750 0.750 0.750
Ge 0.000 0.000 0.500
Ge 0.000 0.500 0.000
Ge 0.500 0.000 0.000
Ge 0.500 0.500 0.500

* DFT total energy: -4.498 eV per atom